No. 1
CsLa2AuS4: relaxed, GGA-PBE.

Geometry as POSCAR:
```
CsLa2AuS4
1.0
-0.781 1.046 4.066
-3.812 -6.470 -1.311
11.647 -7.718 4.223
S Au La Cs
8 2 4 2
direct
0.743 0.486 0.603 S
0.257 0.514 0.397 S
0.000 0.000 0.000 S
0.569 0.138 0.250 S
0.000 0.000 0.500 S
0.743 0.486 0.897 S
0.257 0.514 0.103 S
0.431 0.862 0.750 S
0.840 0.681 0.750 Au
0.160 0.319 0.250 Au
0.367 0.735 0.563 La
0.633 0.265 0.437 La
0.367 0.735 0.937 La
0.633 0.265 0.063 La
0.888 0.776 0.250 Cs
0.112 0.224 0.750 Cs
```

Properties
E_form (uncorrected)   -13.07 eV per formula unit
Symmetry   Cmcm (63)

---

No. 2
CsLaAuSe2: relaxed, GGA-PBE.

Geometry as POSCAR:
```
CsLaAuSe2
1.0
-3.456 2.199 -3.116
0.051 -6.869 -4.906
-6.284 -2.239 5.391
Se Cs La Au
4 2 2 2
direct
0.655 0.230 0.533 Se
0.345 0.230 0.033 Se
0.345 0.770 0.467 Se
0.655 0.770 0.967 Se
0.858 0.500 0.250 Cs
0.142 0.500 0.750 Cs
0.508 0.000 0.750 La
0.492 0.000 0.250 La
0.000 0.000 0.500 Au
0.000 0.000 0.000 Au
```

Properties
E_form (uncorrected)   -5.79 eV per formula unit
Symmetry   P2/c (13)

---

No. 3
CsLa2AuSe4: relaxed, GGA-PBE.

Geometry as POSCAR:
```
CsLa2AuSe4
1.0
-0.909 3.624 2.343
-6.904 -3.687 -1.126
2.062 -7.783 12.839
Se Cs La Au
8 2 4 2
direct
0.259 0.519 0.105 Se
0.437 0.873 0.750 Se
0.000 0.000 0.500 Se
0.741 0.481 0.605 Se
0.563 0.127 0.250 Se
0.000 0.000 0.000 Se
0.259 0.519 0.395 Se
0.741 0.481 0.895 Se
0.115 0.231 0.750 Cs
0.885 0.769 0.250 Cs
0.632 0.265 0.064 La
0.368 0.735 0.564 La
0.368 0.735 0.936 La
0.632 0.265 0.436 La
0.842 0.685 0.750 Au
0.158 0.315 0.250 Au
```

Properties
E_form (uncorrected)   -12.46 eV per formula unit
Symmetry   Cmcm (63)

---

No. 4
Cs2LaTcAu: relaxed, GGA-PBE.

Geometry as POSCAR:
```
Cs2LaTcAu
1.0
-3.210 0.763 -5.190
3.416 -4.192 -2.730
-3.935 -4.373 1.791
Cs La Au Tc
2 1 1 1
direct
0.500 0.000 0.000 Cs
0.000 0.000 0.500 Cs
0.000 0.500 0.000 La
0.000 0.000 0.000 Au
0.500 0.500 0.500 Tc
```

Properties
Symmetry   P4/mmm (123)
Formation energy from the elements   1150 meV/atom

---

No. 5
CsLaTe2Au: relaxed, GGA-PBE.

Geometry as POSCAR:
```
CsLaTe2Au
1.0
-1.757 -3.162 3.567
-1.521 -6.512 -6.521
8.331 -2.203 2.152
Au La Cs Te
2 2 2 4
direct
0.000 0.000 0.500 Au
0.000 0.000 0.000 Au
0.506 0.000 0.750 La
0.494 0.000 0.250 La
0.177 0.500 0.750 Cs
0.823 0.500 0.250 Cs
0.316 0.233 0.034 Te
0.316 0.767 0.466 Te
0.684 0.233 0.534 Te
0.684 0.767 0.966 Te
```

Properties
E_form (uncorrected)   -4.79 eV per formula unit
Symmetry   P2/c (13)

---

No. 6
CsLi2Au2: relaxed, GGA-PBE.

Geometry as POSCAR:
```
CsLi2Au2
1.0
8.372 0.000 0.000
0.000 8.372 0.000
0.000 0.000 3.417
Cs Au Li
2 4 4
direct
0.000 0.000 0.000 Cs
0.500 0.500 0.000 Cs
0.144 0.644 0.500 Au
0.856 0.356 0.500 Au
0.644 0.856 0.500 Au
0.356 0.144 0.500 Au
0.881 0.619 0.000 Li
0.119 0.381 0.000 Li
0.381 0.881 0.000 Li
0.619 0.119 0.000 Li
```

Properties
E above lowest polymorph   69.5 meV per atom
Symmetry   P4/mbm (127)
Formation energy from the elements   -257 meV/atom

---

| no. | total DFT energy (no corrections) (eV/cell) | total moment (μB per cell) |
| --- | --- | --- |
| 1 | -87.14 | 0.0 |
| 2 | -43.63 | 0.0 |
| 3 | -80.77 | 0.0 |
| 4 | -14.53 | 2.9 |
| 5 | -40.27 | 0.0 |
| 6 | -25.04 | 0.0 |